A plane-wave DFT calculation with PBE was carried out for a relaxed Rb2TbPrO4 crystal.

Cell: 3.620 6.268 6.918 Å, 107.51 90.00 90.00°
Atoms (fractional coordinates):
Rb1 0.000 0.500 0.500
O1 0.000 0.737 0.180
Rb2 0.500 0.000 0.500
O2 0.500 0.783 0.822
O3 0.500 0.217 0.178
O4 0.000 0.263 0.820
Pr1 0.500 0.500 0.000
Tb1 0.000 0.000 0.000

## Properties
For the volume, the calculation gives 150 Å³/cell. The uncorrected formation energy is -20.75 eV/f.u. The electronic total energy comes out at -6.49 eV per atom.